Ac2TbSb PBE optimized geometry; SG = P4/mmm, No. 123; energy relative to the lowest polymorph listed for this composition = 0 meV/atom; DFT total energy = -4.6711 eV/atom; D(E_F) = 3.78 states/eV/cell
1.0
-0.200 -0.454 5.008
2.360 -4.611 -0.324
4.617 2.335 0.396
Ac Sb Tb
2 1 1
direct
0.000 0.500 0.000
0.000 0.000 0.500
0.500 0.000 0.000
0.500 0.500 0.500